Entry 1:
Material: SrW2Au
Method: DFT, PBE-GGA
State: optimized geometry

The structure in CIF format:
```
data_SrW2Au
_chemical_formula_sum 'Sr2 W4 Au2'
_symmetry_space_group_name_H-M 'C m m 2'
_symmetry_Int_Tables_number 35
_cell_length_a 3.421
_cell_length_b 4.774
_cell_length_c 9.707
_cell_angle_alpha 90.00
_cell_angle_beta 90.00
_cell_angle_gamma 90.00
loop_
_symmetry_equiv_pos_as_xyz
'x,y,z'
'-x,-y,z'
'-x,y,z'
'x,-y,z'
'x+1/2,y+1/2,z'
'-x+1/2,-y+1/2,z'
'-x+1/2,y+1/2,z'
'x+1/2,-y+1/2,z'
loop_
_atom_site_label
_atom_site_type_symbol
_atom_site_fract_x
_atom_site_fract_y
_atom_site_fract_z
_atom_site_occupancy
Sr1 Sr 0.000 0.000 0.000 1
W1 W 0.000 0.000 0.491 1
W2 W 0.000 0.500 0.288 1
Au1 Au 0.000 0.500 0.726 1
```

Properties
Distance to the lowest polymorph of the same formula (kJ/mol of formula units): 67

---

Entry 2:
Material: Sr2WAu2
Method: DFT, PBE-GGA
State: optimized geometry

The structure in CIF format:
```
data_Sr2WAu2
_chemical_formula_sum 'Sr4 W2 Au4'
_symmetry_space_group_name_H-M 'I 4/m m m'
_symmetry_Int_Tables_number 139
_symmetry_space_group_name_Hall '-I 4 2'
_cell_length_a 6.107
_cell_length_b 6.107
_cell_length_c 8.110
_cell_angle_alpha 90.00
_cell_angle_beta 90.00
_cell_angle_gamma 90.00
loop_
_atom_site_label
_atom_site_type_symbol
_atom_site_fract_x
_atom_site_fract_y
_atom_site_fract_z
_atom_site_occupancy
Sr1 Sr 0.000 0.500 0.250 1
W1 W 0.000 0.000 0.000 1
Au1 Au 0.000 0.000 0.333 1
```

Properties
Distance to the lowest polymorph of the same formula (kJ/mol of formula units): 98

---

Entry 3:
Material: SrW2Au
Method: DFT, PBE-GGA
State: optimized geometry

The structure in CIF format:
```
data_SrW2Au
_chemical_formula_sum 'Sr1 W2 Au1'
_symmetry_space_group_name_H-M 'P m m m'
_symmetry_Int_Tables_number 47
_cell_length_a 3.053
_cell_length_b 4.830
_cell_length_c 5.438
_cell_angle_alpha 90.00
_cell_angle_beta 90.00
_cell_angle_gamma 90.00
loop_
_symmetry_equiv_pos_as_xyz
'x,y,z'
'-x,-y,-z'
'-x,-y,z'
'x,y,-z'
'x,-y,-z'
'-x,y,z'
'-x,y,-z'
'x,-y,z'
loop_
_atom_site_label
_atom_site_type_symbol
_atom_site_fract_x
_atom_site_fract_y
_atom_site_fract_z
_atom_site_occupancy
Sr1 Sr 0.000 0.000 0.000 1
W1 W 0.000 0.500 0.500 1
W2 W 0.500 0.000 0.500 1
Au1 Au 0.500 0.500 0.000 1
```

Properties
Distance to the lowest polymorph of the same formula (kJ/mol of formula units): 170